1.
{"formula": "AcLaSi2Pt4", "functional": "PBE", "state": "relaxed", "cell": [[-4.354, 0.184, 1.032], [-0.903, -2.900, -3.291], [1.041, -6.659, 5.581]], "species": ["Ac", "Si", "Si", "Pt", "Pt", "Pt", "Pt", "La"], "frac_coords": [[0.000, 0.000, 0.500], [0.500, 0.500, 0.652], [0.500, 0.500, 0.348], [0.500, 0.000, 0.763], [0.000, 0.500, 0.237], [0.000, 0.500, 0.763], [0.500, 0.000, 0.237], [0.000, 0.000, 0.000]], "e_form_raw_mev_per_atom": -913}

---

2.
{"formula": "CaBe3N", "functional": "PBE", "state": "relaxed", "cell": [[-1.700, 3.516, 0.491], [-1.437, -1.179, 3.469], [3.246, 1.319, 1.793]], "species": ["Be", "Be", "Be", "N", "Ca"], "frac_coords": [[0.000, 0.000, 0.500], [0.000, 0.500, 0.000], [0.500, 0.000, 0.000], [0.000, 0.000, 0.000], [0.500, 0.500, 0.500]], "de_polymorph_ev_per_atom": 0.0000, "e_form_raw_mev_per_atom": 620}

---

3.
{"formula": "FeCoOs", "functional": "PBE", "state": "relaxed", "cell": [[-4.842, -0.836, -2.736], [-5.366, -1.435, 0.880], [4.665, 2.919, 1.160]], "species": ["Os", "Fe", "Co"], "frac_coords": [[0.665, 0.665, 0.000], [0.338, 0.338, 0.000], [0.997, 0.997, 0.000]], "formation_enthalpy_0k_kcal_per_mol_atoms": 3.75, "de_polymorph_ev_per_atom": 0.0513}